No. 1
Compound: PrTlGaTe3
Source: OQMD
Functional: PBE
Structure: relaxed

a b c (Å): 12.4055 5.0439 12.9360
angles (deg): 90.00 90.00 90.00
Positions (direct):
Pr 0.0241 0.2500 0.1821
Pr 0.4759 0.7500 0.6821
Pr 0.5241 0.2500 0.3179
Pr 0.9759 0.7500 0.8179
Tl 0.1808 0.2500 0.4932
Tl 0.3192 0.7500 0.9932
Tl 0.6808 0.2500 0.0068
Tl 0.8192 0.7500 0.5068
Ga 0.2435 0.2500 0.7769
Ga 0.2565 0.7500 0.2769
Ga 0.7435 0.2500 0.7231
Ga 0.7565 0.7500 0.2231
Te 0.0498 0.7500 0.3501
Te 0.0939 0.2500 0.9358
Te 0.2128 0.7500 0.6944
Te 0.2872 0.2500 0.1944
Te 0.4061 0.7500 0.4358
Te 0.4502 0.2500 0.8501
Te 0.5498 0.7500 0.1499
Te 0.5939 0.2500 0.5642
Te 0.7128 0.7500 0.8056
Te 0.7872 0.2500 0.3056
Te 0.9061 0.7500 0.0642
Te 0.9502 0.2500 0.6499

Computed properties:
The symmetry is Pnma (62). Its energy above the lowest structure with this stoichiometry is 0 meV/atom. Its magnetization is 0.006 μB/f.u.



No. 2
Compound: PrThGa
Source: OQMD
Functional: PBE
Structure: relaxed

a b c (Å): 5.0732 5.0732 5.0732
angles (deg): 60.00 60.00 60.00
Positions (direct):
Pr 0.0000 0.0000 0.0000
Th 0.5000 0.5000 0.5000
Ga 0.2500 0.2500 0.2500

Computed properties:
The symmetry is F-43m (216). Its magnetization is 0.003 μB/f.u. The calculation puts the uncorrected energy at -0.19133 Ha/atom.



No. 3
Compound: PrTlGa
Source: OQMD
Functional: PBE
Structure: relaxed

a b c (Å): 5.1191 5.1191 5.1191
angles (deg): 60.00 60.00 60.00
Positions (direct):
Pr 0.0000 0.0000 0.0000
Tl 0.2500 0.2500 0.2500
Ga 0.7500 0.7500 0.7500

Computed properties:
The symmetry is F-43m (216). Its energy above the lowest structure with this stoichiometry is 266 meV/atom. Its magnetization is 0.005 μB/f.u.



No. 4
Compound: PrTlGa
Source: OQMD
Functional: PBE
Structure: relaxed

a b c (Å): 4.9348 4.9348 4.9348
angles (deg): 60.00 60.00 60.00
Positions (direct):
Pr 0.0000 0.0000 0.0000
Tl 0.5000 0.5000 0.5000
Ga 0.2500 0.2500 0.2500

Computed properties:
The symmetry is F-43m (216). Its energy above the lowest structure with this stoichiometry is 0 meV/atom. Its magnetization is 0.003 μB/f.u.



No. 5
Compound: PrTmGa5
Source: OQMD
Functional: PBE
Structure: relaxed

a b c (Å): 4.3214 4.3214 8.4254
angles (deg): 90.00 90.00 90.00
Positions (direct):
Pr 0.0000 0.0000 0.0000
Tm 0.0000 0.0000 0.5000
Ga 0.0000 0.5000 0.2639
Ga 0.0000 0.5000 0.7361
Ga 0.5000 0.0000 0.2639
Ga 0.5000 0.0000 0.7361
Ga 0.5000 0.5000 0.0000

Computed properties:
The symmetry is P4/mmm (123). Its magnetization is 0.004 μB/f.u. The calculation puts the uncorrected energy at -0.14198 Ha/atom.



No. 6
Compound: PrTmGa2
Source: OQMD
Functional: PBE
Structure: relaxed

a b c (Å): 4.1052 5.9551 5.9551
angles (deg): 43.38 90.00 90.00
Positions (direct):
Pr 0.0000 0.0000 0.0000
Tm 0.5000 0.7214 0.7214
Ga 0.0000 0.2804 0.2804
Ga 0.5000 0.4286 0.4286

Computed properties:
The symmetry is Amm2 (38). Its magnetization is 0.006 μB/f.u. The calculation puts the uncorrected energy at -0.16231 Ha/atom.



No. 7
Compound: PrUGa
Source: OQMD
Functional: PBE
Structure: relaxed

a b c (Å): 4.9930 4.9930 4.9930
angles (deg): 60.00 60.00 60.00
Positions (direct):
Pr 0.0000 0.0000 0.0000
U 0.5000 0.5000 0.5000
Ga 0.2500 0.2500 0.2500

Computed properties:
The symmetry is F-43m (216). Its energy above the lowest structure with this stoichiometry is 0 meV/atom. Its magnetization is 3.576 μB/f.u.



No. 8
Compound: PrGaW
Source: OQMD
Functional: PBE
Structure: relaxed

a b c (Å): 4.9054 4.9054 4.9054
angles (deg): 60.00 60.00 60.00
Positions (direct):
Pr 0.0000 0.0000 0.0000
Ga 0.7500 0.7500 0.7500
W 0.2500 0.2500 0.2500

Computed properties:
The symmetry is F-43m (216). Its energy above the lowest structure with this stoichiometry is 767 meV/atom. Its magnetization is 2.706 μB/f.u.



No. 9
Compound: PrGaW
Source: OQMD
Functional: PBE
Structure: relaxed

a b c (Å): 4.6423 4.6423 4.6423
angles (deg): 60.00 60.00 60.00
Positions (direct):
Pr 0.0000 0.0000 0.0000
Ga 0.2500 0.2500 0.2500
W 0.5000 0.5000 0.5000

Computed properties:
The symmetry is F-43m (216). Its energy above the lowest structure with this stoichiometry is 0 meV/atom. Its magnetization is 1.013 μB/f.u.



No. 10
Compound: PrYGa
Source: OQMD
Functional: PBE
Structure: relaxed

a b c (Å): 5.0509 5.0509 5.0509
angles (deg): 60.00 60.00 60.00
Positions (direct):
Pr 0.0000 0.0000 0.0000
Y 0.5000 0.5000 0.5000
Ga 0.2500 0.2500 0.2500

Computed properties:
The symmetry is F-43m (216). Its magnetization is 0.184 μB/f.u. The calculation puts the uncorrected energy at -0.18389 Ha/atom.



No. 11
Compound: PrYGa4
Source: OQMD
Functional: PBE
Structure: relaxed

a b c (Å): 4.2870 4.2870 8.1168
angles (deg): 90.00 90.00 120.00
Positions (direct):
Pr 0.0000 0.0000 0.0000
Y 0.0000 0.0000 0.5000
Ga 0.3333 0.6667 0.2617
Ga 0.3333 0.6667 0.7383
Ga 0.6667 0.3333 0.2581
Ga 0.6667 0.3333 0.7419

Computed properties:
The symmetry is P-6m2 (187). Its magnetization is 0.006 μB/f.u. The calculation puts the uncorrected energy at -0.16761 Ha/atom.



No. 12
Compound: PrYGa6
Source: OQMD
Functional: PBE
Structure: relaxed

a b c (Å): 6.3420 6.3420 4.6103
angles (deg): 90.00 90.00 120.00
Positions (direct):
Pr 0.0000 0.0000 0.0000
Y 0.6667 0.3333 0.5000
Ga 0.0370 0.5185 0.0000
Ga 0.1859 0.3718 0.5000
Ga 0.1859 0.8141 0.5000
Ga 0.4815 0.5185 0.0000
Ga 0.4815 0.9630 0.0000
Ga 0.6282 0.8141 0.5000

Computed properties:
The symmetry is P-6m2 (187). Its magnetization is 0.001 μB/f.u. The calculation puts the uncorrected energy at -0.15531 Ha/atom.



Question: The highest magnetization belongs to which entry?
Answer: PrUGa



Question: Look up the magnetization of the seventh one.
Answer: 3.576 μB/f.u.